1.
The following is a DFT calculation (PBE) of a relaxed structure of CaEuZnIr.

a = 5.0237 Å, b = 5.0237 Å, c = 5.0237 Å
α = 60.00°, β = 60.00°, γ = 60.00°
Fractional coordinates of all 4 atoms:
Ca1 0.0000 0.0000 0.0000
Eu1 0.5000 0.5000 0.5000
Zn1 0.2500 0.2500 0.2500
Ir1 0.7500 0.7500 0.7500

Summary:
Spin magnetization ... 6.99 μB per formula unit
DFT formation energy ... -0.265 eV/atom

***

2.
The following is a DFT calculation (PBE) of a relaxed structure of TbPm3Sm3S8.

a = 8.0219 Å, b = 8.0219 Å, c = 8.0219 Å
α = 59.93°, β = 59.93°, γ = 59.93°
Fractional coordinates of all 15 atoms:
Tb1 0.0000 0.0000 0.0000
Pm1 0.0000 0.0000 0.5000
Pm2 0.0000 0.5000 0.0000
Pm3 0.5000 0.0000 0.0000
Sm1 0.0000 0.5000 0.5000
Sm2 0.5000 0.0000 0.5000
Sm3 0.5000 0.5000 0.0000
S1 0.2461 0.2461 0.7525
S2 0.2461 0.7525 0.2461
S3 0.2475 0.7539 0.7539
S4 0.2507 0.2507 0.2507
S5 0.7493 0.7493 0.7493
S6 0.7525 0.2461 0.2461
S7 0.7539 0.2475 0.7539
S8 0.7539 0.7539 0.2475

Summary:
Spin magnetization ... 0.00 μB per formula unit
ΔE_f (raw) ... -2060 meV per atom

***

3.
The following is a DFT calculation (PBE) of a relaxed structure of BeP2SBr.

a = 4.8893 Å, b = 4.8893 Å, c = 4.6950 Å
α = 90.00°, β = 90.00°, γ = 90.00°
Fractional coordinates of all 5 atoms:
Be1 0.0000 0.0000 0.0000
P1 0.0000 0.5000 0.5000
P2 0.5000 0.0000 0.5000
S1 0.5000 0.5000 0.0000
Br1 0.5000 0.5000 0.5000

Summary:
Spin magnetization ... 0.49 μB per formula unit
ΔE_f (raw) ... 1793 meV per atom
Excess energy over the best structure of this formula in the dataset ... 1087 meV/atom

***

4.
The following is a DFT calculation (PBE) of a relaxed structure of CaTcBr2.

a = 3.5742 Å, b = 4.4830 Å, c = 6.2125 Å
α = 90.00°, β = 90.00°, γ = 90.00°
Fractional coordinates of all 4 atoms:
Ca1 0.0000 0.0000 0.0000
Tc1 0.5000 0.0000 0.5000
Br1 0.0000 0.5000 0.5000
Br2 0.5000 0.5000 0.0000

Summary:
Spin magnetization ... 2.94 μB per formula unit
ΔE_f (raw) ... -88 meV per atom
Excess energy over the best structure of this formula in the dataset ... 275 meV/atom

***

5.
The following is a DFT calculation (PBE) of a relaxed structure of Nd3Si2Ge2.

a = 9.5647 Å, b = 9.5647 Å, c = 9.5647 Å
α = 155.56°, β = 153.23°, γ = 36.56°
Fractional coordinates of all 7 atoms:
Nd1 0.0000 0.0000 0.0000
Nd2 0.1804 0.6804 0.5000
Nd3 0.8196 0.3196 0.5000
Si1 0.4357 0.4357 0.0000
Si2 0.5643 0.5643 0.0000
Ge1 0.3507 0.8507 0.5000
Ge2 0.6493 0.1493 0.5000

Summary:
Spin magnetization ... 0.00 μB per formula unit
ΔE_f (raw) ... -756 meV per atom

***

6.
The following is a DFT calculation (PBE) of a relaxed structure of MnPHCS.

a = 3.3303 Å, b = 4.0772 Å, c = 5.0165 Å
α = 82.15°, β = 73.19°, γ = 67.29°
Fractional coordinates of all 5 atoms:
Mn1 0.0000 0.0000 0.0000
P1 0.7343 0.4163 0.3139
H1 0.0850 0.4626 0.3902
C1 0.5063 0.8391 0.1479
S1 0.4081 0.3901 0.7632

Summary:
Spin magnetization ... 1.00 μB per formula unit
Excess energy over the best structure of this formula in the dataset ... 390 meV/atom

***

7.
The following is a DFT calculation (PBE) of a relaxed structure of Mg2Be2Re.

a = 5.0269 Å, b = 5.0269 Å, c = 5.0269 Å
α = 131.97°, β = 131.97°, γ = 70.28°
Fractional coordinates of all 5 atoms:
Mg1 0.1406 0.1406 0.0000
Mg2 0.8594 0.8594 0.0000
Be1 0.2500 0.7500 0.5000
Be2 0.7500 0.2500 0.5000
Re1 0.5000 0.5000 0.0000

Summary:
Spin magnetization ... 0.72 μB per formula unit
DFT formation energy ... 0.961 eV/atom

***

8.
The following is a DFT calculation (PBE) of a relaxed structure of MgCrBr2.

a = 6.5495 Å, b = 6.5495 Å, c = 6.5495 Å
α = 149.03°, β = 105.87°, γ = 82.48°
Fractional coordinates of all 4 atoms:
Mg1 0.0000 0.0000 0.0000
Cr1 0.2522 0.7522 0.5000
Br1 0.4298 0.4298 0.0000
Br2 0.8095 0.3095 0.5000

Summary:
Spin magnetization ... 3.99 μB per formula unit
ΔE_f (raw) ... -280 meV per atom
Excess energy over the best structure of this formula in the dataset ... 141 meV/atom